1.
## PmZr2O3 (GGA-PBE)

Data for PmZr2O3 after structural relaxation.

Properties
- Calculated total energy: -51.093 eV/cell

Lattice parameters (Å, degrees): 3.3302 3.3302 8.1777 90.00 90.00 120.00
Last column: nearest neighbours and their distance in Å.
Space group P-3m1 (No. 164)
One atom of each set of equivalent atoms:
Pm (0.0000, 0.0000, 0.0000) x1  6 O 2.51
Zr (0.3333, 0.6667, 0.3476) x2  6 O 2.28-2.29
O (0.0000, 0.0000, 0.5000) x1  6 Zr 2.29
O (0.3333, 0.6667, 0.8028) x2  3 Zr 2.28, 3 Pm 2.51

2.
## Pm2Zr2O5 (GGA-PBE)

Data for Pm2Zr2O5 after structural relaxation.

Properties
- Relative energy among the computed polymorphs: 238 meV/atom

Lattice parameters (Å, degrees): 3.6551 3.6551 10.3101 90.00 90.00 90.00
Last column: nearest neighbours and their distance in Å.
Space group P4/mmm (No. 123)
One atom of each set of equivalent atoms:
Pm (0.0000, 0.0000, 0.2490) x2  4 O 2.24
Zr (0.5000, 0.5000, 0.0000) x1  8 O 2.22
Zr (0.5000, 0.5000, 0.5000) x1  4 O 2.58
O (0.0000, 0.0000, 0.5000) x1  4 Zr 2.58, 2 Pm 2.59
O (0.0000, 0.5000, 0.1227) x4  2 Zr 2.22, 2 Pm 2.24

3.
## PrO2 (GGA-PBE)

Data for PrO2 after structural relaxation.

Properties
- Calculated total energy: -134.787 eV/cell

Lattice parameters (Å, degrees): 6.6947 6.6947 6.6947 90.00 90.00 90.00
Last column: nearest neighbours and their distance in Å.
Space group Fd-3m (No. 227, origin choice 2)
One atom of each set of equivalent atoms:
Pr (0.1250, 0.1250, 0.1250) x8  12 O 2.78, 4 Pr 2.90
O (0.0000, 0.0000, 0.5000) x16  6 O 2.37

4.
## Pr2O (GGA-PBE)

Data for Pr2O after structural relaxation.

Properties
- Relative energy among the computed polymorphs: 248 meV/atom

Lattice parameters (Å, degrees): 10.7929 10.7929 10.7929 90.00 90.00 90.00
Last column: nearest neighbours and their distance in Å.
Space group Fd-3m (No. 227, origin choice 2)
One atom of each set of equivalent atoms:
Pr (0.0000, 0.0000, 0.0000) x16  2 O 2.34
O (0.1250, 0.1250, 0.1250) x8  4 Pr 2.34

5.
## PrO2 (GGA-PBE)

Data for PrO2 after structural relaxation.

Properties
- Calculated total energy: -166.188 eV/cell

Lattice parameters (Å, degrees): 10.1577 10.1577 10.1577 90.00 90.00 90.00
Last column: nearest neighbours and their distance in Å.
Space group Fd-3m (No. 227, origin choice 2)
One atom of each set of equivalent atoms:
Pr (0.1250, 0.1250, 0.1250) x8  4 O 2.20
O (0.0000, 0.0000, 0.0000) x16  2 Pr 2.20

6.
## PrO2 (GGA-PBE)

Data for PrO2 after structural relaxation.

Properties
- Calculated total energy: -43.447 eV/cell

Lattice parameters (Å, degrees): 5.3848 5.3848 3.7301 90.00 90.00 90.00
Last column: nearest neighbours and their distance in Å.
Space group P4_2/mnm (No. 136)
One atom of each set of equivalent atoms:
Pr (0.0000, 0.0000, 0.0000) x2  6 O 2.35-2.37
O (0.1919, 0.1919, 0.5000) x4  3 Pr 2.35-2.37

7.
## Pr4O5 (GGA-PBE)

Data for Pr4O5 after structural relaxation.

Properties
- Calculated total energy: -65.274 eV/cell

Lattice parameters (Å, degrees): 4.6041 4.6041 7.3546 90.00 90.00 90.00
Last column: nearest neighbours and their distance in Å.
Space group P4/mmm (No. 123)
One atom of each set of equivalent atoms:
Pr (0.0000, 0.0000, 0.0000) x1  8 O 2.83
Pr (0.0000, 0.0000, 0.5000) x1  12 O 3.07-3.26
Pr (0.5000, 0.5000, 0.2096) x2  5 O 2.14-2.30
O (0.0000, 0.5000, 0.2240) x4  2 Pr 2.30
O (0.5000, 0.5000, 0.5000) x1  2 Pr 2.14

8.
## Pr2O (GGA-PBE)

Data for Pr2O after structural relaxation.

Properties
- Relative energy among the computed polymorphs: 0 meV/atom

Lattice parameters (Å, degrees): 6.3161 6.3161 6.3161 90.00 90.00 90.00
Last column: nearest neighbours and their distance in Å.
Space group Fm-3m (No. 225)
One atom of each set of equivalent atoms:
Pr (0.2500, 0.2500, 0.2500) x8  4 O 2.73
O (0.0000, 0.0000, 0.0000) x4  8 Pr 2.73